DFT (GGA-PBE) results for a relaxed structure of NaPrAuS2.

POSCAR file:
```
NaPrAuS2
1.0
5.2687 0.0000 0.0000
0.0000 6.3511 0.8014
0.0000 -1.0214 7.7630
S Pr Na Au
4 2 2 2
Direct
0.6966 0.7218 0.9991
0.3034 0.2782 0.0009
0.3034 0.7218 0.4991
0.6966 0.2782 0.5009
0.5004 0.0000 0.7500
0.4996 0.0000 0.2500
0.0029 0.5000 0.7500
0.9971 0.5000 0.2500
0.0000 0.0000 0.5000
0.0000 0.0000 0.0000
```

Output
**Formation energy (no corrections)**: -1.05 eV per atom
**Volume**: 26.4 A^3/atom
**Space group**: No. 13
**Electronic total energy**: -4.5777 eV per atom